An optimized crystal structure of CaCeHg4. Source: Alexandria, functional PBE.

The structure in extended XYZ format:
```
6
Lattice="5.361 -1.977 0.000 5.361 1.977 0.000 -3.006 0.000 7.489" Properties=species:S:1:pos:R:3 pbc="T T T"
Ca 0.000 0.000 0.000
Ce -1.503 0.000 3.745
Hg 3.054 0.000 1.213
Hg 1.542 0.000 5.024
Hg 6.174 0.000 2.465
Hg 4.662 0.000 6.276
```

Calculated values
- energy relative to the lowest polymorph listed for this composition (eV/atom) = 0.000
- E_form (eV per formula unit) = -2.19
- crystal system = monoclinic
- total DFT energy (no corrections) (eV per cell) = -11.3
- SG = C2/m, No. 12